Entry from the Alexandria database: Pm2Er2Al after structural relaxation (PBE).

Lattice parameters (Å, degrees): 4.268 4.268 17.509 90.00 90.00 90.00
Space group I4/mmm (No. 139)
Inequivalent atoms, fractional coordinates:
Pm  0.000  0.500  0.250 (multiplicity 4)
Er  0.000  0.000  0.086 (multiplicity 4)
Al  0.000  0.000  0.500 (multiplicity 2)

Computed properties:
energy relative to the elements = 2.26 eV/f.u.
density = 6.79 g/cm3
excess energy over the best structure of this formula in the dataset = 0.449 eV/atom
density of states at the Fermi level = 1.30 states/eV/atom

---

Entry from the Alexandria database: Pm5ErAl2 after structural relaxation (PBE).

Lattice parameters (Å, degrees): 5.3955 5.3955 19.9578 90.00 90.00 120.00
Space group P6_3/mmc (No. 194)
Inequivalent atoms, fractional coordinates:
Pm  0.0000  0.0000  0.1555 (multiplicity 4)
Pm  0.3333  0.6667  0.0550 (multiplicity 4)
Pm  0.3333  0.6667  0.2500 (multiplicity 2)
Er  0.3333  0.6667  0.7500 (multiplicity 2)
Al  0.3333  0.6667  0.6016 (multiplicity 4)

Computed properties:
energy relative to the elements = -0.26 eV/f.u.
density = 6.25 g/cm3
excess energy over the best structure of this formula in the dataset = 0.027 eV/atom
density of states at the Fermi level = 1.54 states/eV/atom

---

- Number 2 is which compound?
  Pm5ErAl2

---

- Which of these has the highest density of states at the Fermi level?
  Pm5ErAl2